{"formula": "FeIr2W", "functional": "PBE-GGA", "state": "optimized geometry", "lattice": [[-0.520, -2.216, 3.064], [3.440, 1.002, 1.308], [-1.564, 2.940, 1.860]], "species": ["Fe", "Ir", "Ir", "W"], "fractional_positions": [[0.500, 0.000, 0.500], [0.000, 0.000, 0.000], [0.000, 0.500, 0.500], [0.500, 0.500, 0.000]], "total_magnetization_mub_per_fu": 0.005, "polymorph_energy_ev_per_atom": 0.0345, "formation_energy_ev_per_atom": -0.202, "crystal_system": "tetragonal"}


{"formula": "ZnNi15Ge4", "functional": "PBE-GGA", "state": "optimized geometry", "lattice": [[-3.076, 0.623, 1.715], [-1.807, -1.504, -2.695], [1.258, -15.934, 8.049]], "species": ["Ni", "Ni", "Ni", "Ni", "Ni", "Ni", "Ni", "Ni", "Ni", "Ni", "Ni", "Ni", "Ni", "Ni", "Ni", "Ge", "Ge", "Ge", "Ge", "Zn"], "fractional_positions": [[0.500, 0.500, 0.201], [0.500, 0.500, 0.000], [0.000, 0.500, 0.101], [0.500, 0.500, 0.600], [0.000, 0.500, 0.300], [0.000, 0.500, 0.700], [0.500, 0.000, 0.500], [0.500, 0.500, 0.799], [0.500, 0.000, 0.899], [0.500, 0.500, 0.400], [0.500, 0.000, 0.300], [0.500, 0.000, 0.700], [0.000, 0.500, 0.899], [0.000, 0.500, 0.500], [0.500, 0.000, 0.101], [0.000, 0.000, 0.400], [0.000, 0.000, 0.600], [0.000, 0.000, 0.198], [0.000, 0.000, 0.802], [0.000, 0.000, 0.000]], "total_magnetization_mub_per_fu": 1.595, "formation_energy_ev_per_atom": -0.249, "crystal_system": "tetragonal"}


{"formula": "LiPa2P2N6", "functional": "PBE-GGA", "state": "optimized geometry", "lattice": [[-1.465, 4.571, 3.371], [-4.146, -2.915, -2.952], [-0.708, -3.532, 4.482]], "species": ["Pa", "Pa", "N", "N", "N", "N", "N", "N", "P", "P", "Li"], "fractional_positions": [[0.333, 0.667, 0.379], [0.667, 0.333, 0.621], [0.942, 0.368, 0.262], [0.058, 0.632, 0.738], [0.426, 0.058, 0.262], [0.632, 0.574, 0.262], [0.574, 0.942, 0.738], [0.368, 0.426, 0.738], [0.667, 0.333, 0.138], [0.333, 0.667, 0.862], [0.000, 0.000, 0.000]], "total_magnetization_mub_per_fu": 0.000, "raw_formation_energy_ev_per_fu": -8.5, "crystal_system": "trigonal"}


{"formula": "OsSe2Cl", "functional": "PBE-GGA", "state": "optimized geometry", "lattice": [[3.041, 0.002, 0.000], [-1.717, 2.510, 0.000], [0.000, 0.000, 10.656]], "species": ["Cl", "Se", "Se", "Os"], "fractional_positions": [[0.500, 0.500, 0.250], [0.000, 0.000, 0.947], [0.000, 0.000, 0.553], [0.500, 0.500, 0.750]], "total_magnetization_mub_per_fu": 0.000, "polymorph_energy_ev_per_atom": 0.5166, "raw_formation_energy_ev_per_fu": 2.0, "crystal_system": "orthorhombic"}


{"formula": "KAsPdPt", "functional": "PBE-GGA", "state": "optimized geometry", "lattice": [[-3.763, -0.743, 0.580], [-0.231, -1.590, -3.531], [3.035, -11.485, 4.971]], "species": ["K", "K", "Pd", "Pd", "As", "As", "Pt", "Pt"], "fractional_positions": [[0.250, 0.250, 0.710], [0.750, 0.750, 0.290], [0.750, 0.250, 0.500], [0.250, 0.750, 0.500], [0.250, 0.250, 0.129], [0.750, 0.750, 0.871], [0.750, 0.250, 0.000], [0.250, 0.750, 0.000]], "total_magnetization_mub_per_fu": 0.000, "formation_energy_ev_per_atom": -0.125, "crystal_system": "tetragonal"}


{"formula": "MgFePt2", "functional": "PBE-GGA", "state": "optimized geometry", "lattice": [[-1.309, -3.842, 1.762], [1.736, -3.804, -1.448], [2.756, -2.301, 2.587]], "species": ["Pt", "Pt", "Mg", "Fe"], "fractional_positions": [[0.000, 0.000, 0.000], [0.250, 0.250, 0.250], [0.750, 0.750, 0.750], [0.500, 0.500, 0.500]], "total_magnetization_mub_per_fu": 3.173, "formation_energy_ev_per_atom": -0.253, "crystal_system": "cubic"}


{"formula": "TaCrCo2", "functional": "PBE-GGA", "state": "optimized geometry", "lattice": [[-2.443, 0.474, 3.319], [-0.163, -2.966, 2.896], [1.681, 0.654, 3.736]], "species": ["Cr", "Co", "Co", "Ta"], "fractional_positions": [[0.500, 0.500, 0.500], [0.000, 0.000, 0.000], [0.250, 0.250, 0.250], [0.750, 0.750, 0.750]], "total_magnetization_mub_per_fu": 0.773, "polymorph_energy_ev_per_atom": 0.1611, "formation_energy_ev_per_atom": 0.122, "crystal_system": "cubic"}


{"formula": "FeCuTeAsOs", "functional": "PBE-GGA", "state": "optimized geometry", "lattice": [[3.971, 0.514, 0.120], [-0.589, 4.312, -0.081], [-0.148, -0.373, 5.260]], "species": ["Fe", "Os", "Cu", "Te", "As"], "fractional_positions": [[0.394, 0.686, 0.723], [0.891, 0.496, 0.465], [0.857, 0.950, 0.136], [0.386, 0.420, 0.140], [0.895, 0.022, 0.674]], "total_magnetization_mub_per_fu": 2.578, "polymorph_energy_ev_per_atom": 0.1554, "raw_formation_energy_ev_per_fu": 1.4, "crystal_system": "triclinic"}


{"formula": "Ce6PuTh8", "functional": "PBE-GGA", "state": "optimized geometry", "lattice": [[7.595, 0.000, 4.374], [2.538, 7.158, 4.374], [0.172, 0.122, 8.482]], "species": ["Th", "Th", "Th", "Th", "Th", "Th", "Th", "Th", "Ce", "Ce", "Ce", "Ce", "Ce", "Ce", "Pu"], "fractional_positions": [[0.120, 0.665, 0.399], [0.665, 0.816, 0.399], [0.418, 0.418, 0.745], [0.582, 0.582, 0.255], [0.816, 0.120, 0.399], [0.184, 0.880, 0.601], [0.335, 0.184, 0.601], [0.880, 0.335, 0.601], [0.287, 0.057, 0.107], [0.057, 0.549, 0.107], [0.713, 0.943, 0.893], [0.451, 0.713, 0.893], [0.549, 0.287, 0.107], [0.943, 0.451, 0.893], [0.000, 0.000, 0.000]], "total_magnetization_mub_per_fu": 7.404, "formation_energy_ev_per_atom": 0.138, "crystal_system": "trigonal"}


{"formula": "Tb8ThSc5", "functional": "PBE-GGA", "state": "optimized geometry", "lattice": [[1.136, -8.412, -1.407], [4.892, 3.727, 5.384], [-8.607, -0.807, 1.468]], "species": ["Tb", "Tb", "Tb", "Tb", "Tb", "Tb", "Tb", "Tb", "Th", "Sc", "Sc", "Sc", "Sc", "Sc"], "fractional_positions": [[0.611, 0.851, 0.826], [0.111, 0.204, 0.993], [0.468, 0.173, 0.138], [0.137, 0.527, 0.821], [0.908, 0.481, 0.158], [0.810, 0.868, 0.481], [0.308, 0.217, 0.494], [0.936, 0.816, 0.065], [0.236, 0.842, 0.625], [0.497, 0.479, 0.962], [0.842, 0.178, 0.331], [0.410, 0.818, 0.283], [0.806, 0.568, 0.613], [0.670, 0.229, 0.710]], "total_magnetization_mub_per_fu": 0.000, "formation_energy_ev_per_atom": 0.154, "crystal_system": "triclinic"}


{"formula": "PrNdEr5", "functional": "PBE-GGA", "state": "optimized geometry", "lattice": [[-4.991, -2.609, -1.145], [-0.110, -7.343, 2.791], [-4.384, -0.782, 6.472]], "species": ["Er", "Er", "Er", "Er", "Er", "Pr", "Nd"], "fractional_positions": [[0.746, 0.254, 0.254], [0.500, 0.821, 0.179], [0.000, 0.500, 0.500], [0.500, 0.179, 0.821], [0.254, 0.746, 0.746], [0.000, 0.000, 0.000], [0.500, 0.500, 0.500]], "total_magnetization_mub_per_fu": 0.006, "polymorph_energy_ev_per_atom": 0.9091, "formation_energy_ev_per_atom": 1.106, "crystal_system": "orthorhombic"}


{"formula": "Tl2AgAu", "functional": "PBE-GGA", "state": "optimized geometry", "lattice": [[-2.775, -3.180, 2.892], [-5.103, 0.003, -0.367], [-2.413, -3.967, -2.151]], "species": ["Ag", "Au", "Tl", "Tl"], "fractional_positions": [[0.000, 0.000, 0.000], [0.500, 0.500, 0.500], [0.750, 0.750, 0.750], [0.250, 0.250, 0.250]], "total_magnetization_mub_per_fu": 0.000, "polymorph_energy_ev_per_atom": 0.0674, "formation_energy_ev_per_atom": 0.097, "crystal_system": "cubic"}


| no. | final energy (eV/cell) |
| --- | --- |
| 1 | -39.9 |
| 2 | -111.4 |
| 3 | -90.2 |
| 4 | -18.0 |
| 5 | -35.0 |
| 6 | -23.2 |
| 7 | -35.2 |
| 8 | -30.2 |
| 9 | -107.2 |
| 10 | -74.0 |
| 11 | -24.6 |
| 12 | -10.5 |